Record 1
Here is a relaxed structure of Fe2CoRe from the Alexandria database. Energies are from PBE-GGA.

Unit cell a=2.637 b=2.637 c=7.020 alpha=90.00 beta=90.00 gamma=90.00
Sites, in units of the cell vectors:
Fe1 0.000 0.000 0.232
Fe2 0.000 0.000 0.768
Co1 0.500 0.500 0.000
Re1 0.500 0.500 0.500

Output
* formation enthalpy at 0 K: 0.090 eV per atom
* E: -9.030 eV per atom
* volume: 48.8 Å³ per cell



Record 2
Here is a relaxed structure of Fe2CoRe from the Alexandria database. Energies are from PBE-GGA.

Unit cell a=8.398 b=8.398 c=8.398 alpha=18.08 beta=18.08 gamma=18.08
Sites, in units of the cell vectors:
Fe1 0.246 0.246 0.246
Fe2 0.754 0.754 0.754
Co1 0.500 0.500 0.500
Re1 0.000 0.000 0.000

Output
* formation enthalpy at 0 K: 0.175 eV per atom
* E: -8.945 eV per atom
* volume: 49.8 Å³ per cell



Record 3
Here is a relaxed structure of FeCoRe2 from the Alexandria database. Energies are from PBE-GGA.

Unit cell a=4.238 b=4.238 c=4.238 alpha=60.00 beta=60.00 gamma=60.00
Sites, in units of the cell vectors:
Fe1 0.000 0.000 0.000
Co1 0.250 0.250 0.250
Re1 0.500 0.500 0.500
Re2 0.750 0.750 0.750

Output
* formation enthalpy at 0 K: 0.207 eV per atom
* E: -9.909 eV per atom
* polymorph energy (0 for the lowest one): 177 meV/atom
* volume: 53.8 Å³ per cell



Record 4
Here is a relaxed structure of Fe2CoRe from the Alexandria database. Energies are from PBE-GGA.

Unit cell a=4.396 b=2.588 c=4.436 alpha=90.00 beta=109.06 gamma=90.00
Sites, in units of the cell vectors:
Fe1 0.000 0.000 0.000
Fe2 0.000 0.500 0.500
Co1 0.500 0.000 0.500
Re1 0.500 0.500 0.000

Output
* formation enthalpy at 0 K: 0.102 eV per atom
* E: -9.018 eV per atom
* volume: 47.7 Å³ per cell



Record 5
Here is a relaxed structure of Fe2CoRe from the Alexandria database. Energies are from PBE-GGA.

Unit cell a=3.594 b=3.594 c=3.542 alpha=90.00 beta=90.00 gamma=90.00
Sites, in units of the cell vectors:
Fe1 0.000 0.500 0.000
Fe2 0.500 0.000 0.000
Co1 0.000 0.000 0.500
Re1 0.500 0.500 0.500

Output
* formation enthalpy at 0 K: 0.063 eV per atom
* E: -9.057 eV per atom
* volume: 45.8 Å³ per cell



Record 6
Here is a relaxed structure of FeCo2Re from the Alexandria database. Energies are from PBE-GGA.

Unit cell a=4.388 b=4.388 c=4.388 alpha=131.42 beta=131.42 gamma=71.14
Sites, in units of the cell vectors:
Fe1 0.000 0.000 0.000
Co1 0.500 0.500 0.000
Co2 0.750 0.250 0.500
Re1 0.250 0.750 0.500

Output
* formation enthalpy at 0 K: 0.045 eV per atom
* E: -8.735 eV per atom
* polymorph energy (0 for the lowest one): 25 meV/atom
* volume: 46.5 Å³ per cell



Record 7
Here is a relaxed structure of FeCo4Re from the Alexandria database. Energies are from PBE-GGA.

Unit cell a=2.583 b=3.545 c=7.603 alpha=90.00 beta=90.00 gamma=90.00
Sites, in units of the cell vectors:
Fe1 0.000 0.000 0.000
Co1 0.000 0.000 0.327
Co2 0.000 0.000 0.673
Co3 0.500 0.500 0.164
Co4 0.500 0.500 0.836
Re1 0.500 0.500 0.500

Output
* formation enthalpy at 0 K: 0.063 eV per atom
* E: -8.159 eV per atom
* polymorph energy (0 for the lowest one): 0 meV/atom
* volume: 69.6 Å³ per cell



Record 8
Here is a relaxed structure of FeCoRe2 from the Alexandria database. Energies are from PBE-GGA.

Unit cell a=4.515 b=4.515 c=4.515 alpha=131.24 beta=131.24 gamma=71.43
Sites, in units of the cell vectors:
Fe1 0.000 0.000 0.000
Co1 0.500 0.500 0.000
Re1 0.250 0.750 0.500
Re2 0.750 0.250 0.500

Output
* formation enthalpy at 0 K: 0.053 eV per atom
* E: -10.063 eV per atom
* polymorph energy (0 for the lowest one): 23 meV/atom
* volume: 50.9 Å³ per cell